Compound: Li2Ti4NiP4O20
Source: Alexandria
Functional: GGA+U
Structure: relaxed

a b c (Å): 6.4487 7.3541 7.4681
angles (deg): 90.00 89.96 90.53
Site moments in Bohr magnetons follow the coordinates.
Fractional positions:
1 Li 0.0000 0.5000 0.5000  0.00
2 Li 0.0000 0.0000 0.0000  0.00
3 Ti 0.2601 0.7290 0.8401  0.02
4 Ti 0.7527 0.2141 0.6682  0.00
5 Ti 0.7399 0.2710 0.1599  0.02
6 Ti 0.2473 0.7859 0.3318  0.00
7 Ni 0.5000 0.5000 0.5000  1.78
8 P 0.7505 0.6239 0.8723  0.00
9 P 0.2451 0.1268 0.6231  0.00
10 P 0.2495 0.3761 0.1277  0.00
11 P 0.7549 0.8732 0.3769  0.00
12 O 0.5601 0.7464 0.3665  0.02
13 O 0.4430 0.2557 0.1270  0.00
14 O 0.4399 0.2536 0.6335  0.02
15 O 0.5570 0.7443 0.8730  0.00
16 O 0.7546 0.5060 0.0424  0.00
17 O 0.2565 0.0176 0.4462  0.00
18 O 0.2454 0.4940 0.9576  0.00
19 O 0.7435 0.9824 0.5538  0.00
20 O 0.2680 0.6499 0.6148  0.02
21 O 0.7690 0.1601 0.8897  0.00
22 O 0.7320 0.3501 0.3852  0.02
23 O 0.2310 0.8399 0.1103  0.00
24 O 0.9445 0.7458 0.8613  0.00
25 O 0.0543 0.2529 0.6161  0.00
26 O 0.0555 0.2542 0.1387  0.00
27 O 0.9457 0.7471 0.3839  0.00
28 O 0.7412 0.4980 0.6999  0.02
29 O 0.2334 0.9991 0.7859  0.00
30 O 0.2588 0.5020 0.3001  0.02
31 O 0.7666 0.0009 0.2141  0.00

Values from the calculation:
Distance to the lowest polymorph of the same formula ... 6 meV/atom
Density of states at the Fermi level ... 0.00 states/eV per cell
Magnetic moment ... 1.98 μB per formula unit
Crystal system ... triclinic